Computed, not measured: a relaxed Zr2MoRu crystal at the GGA-PBE level of DFT.

CIF file:
```
data_Zr2MoRu
_chemical_formula_sum 'Zr2 Mo1 Ru1'
_space_group_name_H-M_alt 'P 1'
_space_group_IT_number 1
_cell_length_a 4.652
_cell_length_b 4.652
_cell_length_c 4.652
_cell_angle_alpha 60.00
_cell_angle_beta 60.00
_cell_angle_gamma 60.00
loop_
_space_group_symop_operation_xyz
'x,y,z'
loop_
_atom_site_label
_atom_site_type_symbol
_atom_site_fract_x
_atom_site_fract_y
_atom_site_fract_z
Zr1 Zr 0.000 0.000 0.000
Zr2 Zr 0.250 0.250 0.250
Mo1 Mo 0.500 0.500 0.500
Ru1 Ru 0.750 0.750 0.750
```

Properties
Energy relative to the elements ... -20 kJ/mol of formula units
Crystal system ... cubic
VASP energy ... -9.35 eV/atom